First-principles (GGA-PBEsol) data for a relaxed La2ScCr crystal, as listed in the Alexandria database.

Cell and atoms, written as POSCAR:
```
La2ScCr
1.0
-0.272 -3.473 0.046
2.787 -0.247 -2.076
4.989 -0.303 6.734
Cr La Sc
1 2 1
Direct
0.500 0.500 0.271
0.000 0.000 0.043
0.500 0.500 0.740
0.000 0.000 0.446
```

The energy above the most stable polymorph in this dataset is 0 meV per atom. Its magnetization is 2.9 μB per cell. For the energy of formation from the pure elements, the calculation gives 7.4 kcal/mol of atoms.